The following is a DFT calculation (GGA-PBE) of crystalline Ti2Nb4Mo at its relaxed geometry.

Cell: 2.8252 7.1706 7.1847 Å, 119.38 97.28 94.65°
Fractional positions:
Ti (0.0969, 0.2245, 0.0784)
Ti (0.9031, 0.7755, 0.9216)
Nb (0.2662, 0.3621, 0.7786)
Nb (0.4137, 0.9281, 0.6525)
Nb (0.5863, 0.0719, 0.3475)
Nb (0.7338, 0.6379, 0.2214)
Mo (0.0000, 0.5000, 0.5000)

Computed properties:
N(E_F)   1.319 states/eV per atom
ΔH_f (0 K)   58 meV/atom
Uncorrected energy   -9.499 eV/atom
Excess energy over the best structure of this formula in the dataset   0 meV/atom